Record 1
BaAl2SbF: single point on PBEsol structure, meta-GGA SCAN.

Structure (CIF):
```
data_BaAl2SbF
_symmetry_space_group_name_H-M 'P 1'
_symmetry_Int_Tables_number 1
_symmetry_space_group_name_Hall 'P 1'
_cell_length_a 4.729
_cell_length_b 4.729
_cell_length_c 5.353
_cell_angle_alpha 90.00
_cell_angle_beta 90.00
_cell_angle_gamma 90.00
loop_
_atom_site_label
_atom_site_type_symbol
_atom_site_fract_x
_atom_site_fract_y
_atom_site_fract_z
Al1 Al 0.500 0.000 0.000
Al2 Al 0.000 0.500 0.000
F1 F 0.000 0.000 0.000
Sb1 Sb 0.000 0.000 0.500
Ba1 Ba 0.500 0.500 0.500
```

Values from the calculation:
E in eV/atom: -19.666
Density of states at the Fermi level in states/eV per atom: 0.36
SG: No. 123
Energy relative to the elements, uncorrected in kJ/mol of formula units: -238.6



Record 2
BaAl3Fe: single point on PBEsol structure, meta-GGA SCAN.

Structure (CIF):
```
data_BaAl3Fe
_symmetry_space_group_name_H-M 'P 1'
_symmetry_Int_Tables_number 1
_symmetry_space_group_name_Hall 'P 1'
_cell_length_a 4.655
_cell_length_b 4.655
_cell_length_c 4.655
_cell_angle_alpha 90.00
_cell_angle_beta 90.00
_cell_angle_gamma 90.00
loop_
_atom_site_label
_atom_site_type_symbol
_atom_site_fract_x
_atom_site_fract_y
_atom_site_fract_z
Al1 Al 0.000 0.000 0.500
Al2 Al 0.500 0.000 0.000
Al3 Al 0.000 0.500 0.000
Ba1 Ba 0.500 0.500 0.500
Fe1 Fe 0.000 0.000 0.000
```

Values from the calculation:
E in eV/atom: -16.381
Density of states at the Fermi level in states/eV per atom: 0.29
SG: No. 221



Record 3
Ba2AlFeP: single point on PBEsol structure, meta-GGA SCAN.

Structure (CIF):
```
data_Ba2AlFeP
_symmetry_space_group_name_H-M 'P 1'
_symmetry_Int_Tables_number 1
_symmetry_space_group_name_Hall 'P 1'
_cell_length_a 4.459
_cell_length_b 6.066
_cell_length_c 6.066
_cell_angle_alpha 90.00
_cell_angle_beta 90.00
_cell_angle_gamma 90.00
loop_
_atom_site_label
_atom_site_type_symbol
_atom_site_fract_x
_atom_site_fract_y
_atom_site_fract_z
Ba1 Ba 0.000 0.000 0.500
Ba2 Ba 0.000 0.500 0.000
Fe1 Fe 0.500 0.000 0.000
P1 P 0.500 0.500 0.500
Al1 Al 0.000 0.000 0.000
```

Values from the calculation:
E in eV/atom: -22.730
Density of states at the Fermi level in states/eV per atom: 0.80
SG: No. 123



Record 4
Ba2AlGa3: single point on PBEsol structure, meta-GGA SCAN.

Structure (CIF):
```
data_Ba2AlGa3
_symmetry_space_group_name_H-M 'P 1'
_symmetry_Int_Tables_number 1
_symmetry_space_group_name_Hall 'P 1'
_cell_length_a 4.845
_cell_length_b 6.079
_cell_length_c 6.108
_cell_angle_alpha 77.82
_cell_angle_beta 66.64
_cell_angle_gamma 66.52
loop_
_atom_site_label
_atom_site_type_symbol
_atom_site_fract_x
_atom_site_fract_y
_atom_site_fract_z
Ba1 Ba 0.251 0.312 0.185
Ba2 Ba 0.749 0.686 0.815
Ga1 Ga 0.922 0.919 0.236
Ga2 Ga 0.423 0.736 0.419
Ga3 Ga 0.076 0.084 0.764
Al1 Al 0.579 0.262 0.581
```

Values from the calculation:
E in eV/atom: -23.098
Density of states at the Fermi level in states/eV per atom: 0.15
SG: No. 8



Record 5
Ba2HfAlGa: single point on PBEsol structure, meta-GGA SCAN.

Structure (CIF):
```
data_Ba2HfAlGa
_symmetry_space_group_name_H-M 'P 1'
_symmetry_Int_Tables_number 1
_symmetry_space_group_name_Hall 'P 1'
_cell_length_a 5.074
_cell_length_b 6.152
_cell_length_c 6.152
_cell_angle_alpha 90.00
_cell_angle_beta 90.00
_cell_angle_gamma 90.00
loop_
_atom_site_label
_atom_site_type_symbol
_atom_site_fract_x
_atom_site_fract_y
_atom_site_fract_z
Hf1 Hf 0.500 0.000 0.000
Ga1 Ga 0.000 0.000 0.000
Al1 Al 0.500 0.500 0.500
Ba1 Ba 0.000 0.500 0.000
Ba2 Ba 0.000 0.000 0.500
```

Values from the calculation:
E in eV/atom: -32.632
Density of states at the Fermi level in states/eV per atom: 1.41
SG: No. 123



Record 6
Ba10Al3Ge7: single point on PBEsol structure, meta-GGA SCAN.

Structure (CIF):
```
data_Ba10Al3Ge7
_symmetry_space_group_name_H-M 'P 1'
_symmetry_Int_Tables_number 1
_symmetry_space_group_name_Hall 'P 1'
_cell_length_a 9.711
_cell_length_b 9.711
_cell_length_c 16.282
_cell_angle_alpha 90.00
_cell_angle_beta 90.00
_cell_angle_gamma 120.00
loop_
_atom_site_label
_atom_site_type_symbol
_atom_site_fract_x
_atom_site_fract_y
_atom_site_fract_z
Ge1 Ge 0.000 0.000 0.250
Ge2 Ge 0.000 0.606 0.884
Ge3 Ge 0.606 0.606 0.116
Ge4 Ge 0.394 0.394 0.616
Ge5 Ge 0.000 0.394 0.116
Ge6 Ge 0.394 0.000 0.384
Ge7 Ge 0.000 0.606 0.616
Ge8 Ge 0.000 0.000 0.750
Ge9 Ge 0.394 0.394 0.884
Ge10 Ge 0.000 0.394 0.384
Ge11 Ge 0.394 0.000 0.116
Ge12 Ge 0.606 0.000 0.884
Ge13 Ge 0.606 0.000 0.616
Ge14 Ge 0.606 0.606 0.384
Al1 Al 0.732 0.000 0.750
Al2 Al 0.000 0.732 0.750
Al3 Al 0.268 0.000 0.250
Al4 Al 0.268 0.268 0.750
Al5 Al 0.732 0.732 0.250
Al6 Al 0.000 0.268 0.250
Ba1 Ba 0.738 0.738 0.602
Ba2 Ba 0.262 0.000 0.898
Ba3 Ba 0.333 0.667 0.250
Ba4 Ba 0.262 0.262 0.102
Ba5 Ba 0.000 0.262 0.602
Ba6 Ba 0.738 0.738 0.898
Ba7 Ba 0.333 0.667 0.500
Ba8 Ba 0.000 0.738 0.102
Ba9 Ba 0.333 0.667 0.750
Ba10 Ba 0.667 0.333 0.250
Ba11 Ba 0.738 0.000 0.398
Ba12 Ba 0.738 0.000 0.102
Ba13 Ba 0.262 0.000 0.602
Ba14 Ba 0.667 0.333 0.500
Ba15 Ba 0.000 0.738 0.398
Ba16 Ba 0.667 0.333 0.000
Ba17 Ba 0.262 0.262 0.398
Ba18 Ba 0.000 0.262 0.898
Ba19 Ba 0.333 0.667 0.000
Ba20 Ba 0.667 0.333 0.750
```

Values from the calculation:
E in eV/atom: -28.185
Density of states at the Fermi level in states/eV per atom: 0.24
SG: No. 193



Record 7
BaAlGe: single point on PBEsol structure, meta-GGA SCAN.

Structure (CIF):
```
data_BaAlGe
_symmetry_space_group_name_H-M 'P 1'
_symmetry_Int_Tables_number 1
_symmetry_space_group_name_Hall 'P 1'
_cell_length_a 4.336
_cell_length_b 4.336
_cell_length_c 5.085
_cell_angle_alpha 90.00
_cell_angle_beta 90.00
_cell_angle_gamma 120.00
loop_
_atom_site_label
_atom_site_type_symbol
_atom_site_fract_x
_atom_site_fract_y
_atom_site_fract_z
Ge1 Ge 0.667 0.333 0.500
Ba1 Ba 0.000 0.000 0.000
Al1 Al 0.333 0.667 0.500
```

Values from the calculation:
E in eV/atom: -22.656
Density of states at the Fermi level in states/eV per atom: 0.47
SG: No. 187



Record 8
BaAlGeH: single point on PBEsol structure, meta-GGA SCAN.

Structure (CIF):
```
data_BaAlGeH
_symmetry_space_group_name_H-M 'P 1'
_symmetry_Int_Tables_number 1
_symmetry_space_group_name_Hall 'P 1'
_cell_length_a 4.333
_cell_length_b 4.333
_cell_length_c 5.108
_cell_angle_alpha 90.00
_cell_angle_beta 90.00
_cell_angle_gamma 120.00
loop_
_atom_site_label
_atom_site_type_symbol
_atom_site_fract_x
_atom_site_fract_y
_atom_site_fract_z
Ba1 Ba 0.333 0.667 0.998
H1 H 0.000 0.000 0.119
Al1 Al 0.000 0.000 0.460
Ge1 Ge 0.667 0.333 0.542
```

Values from the calculation:
E in eV/atom: -18.060
SG: No. 156



Record 9
BaAl2Ge2O8: single point on PBEsol structure, meta-GGA SCAN.

Structure (CIF):
```
data_BaAl2Ge2O8
_symmetry_space_group_name_H-M 'P 1'
_symmetry_Int_Tables_number 1
_symmetry_space_group_name_Hall 'P 1'
_cell_length_a 8.832
_cell_length_b 9.572
_cell_length_c 9.572
_cell_angle_alpha 90.97
_cell_angle_beta 97.81
_cell_angle_gamma 82.19
loop_
_atom_site_label
_atom_site_type_symbol
_atom_site_fract_x
_atom_site_fract_y
_atom_site_fract_z
O1 O 0.710 0.236 0.523
O2 O 0.786 0.264 0.978
O3 O 0.008 0.679 0.575
O4 O 0.499 0.370 0.867
O5 O 0.999 0.133 0.630
O6 O 0.290 0.764 0.477
O7 O 0.993 0.072 0.178
O8 O 0.507 0.178 0.072
O9 O 0.790 0.523 0.236
O10 O 0.714 0.978 0.264
O11 O 0.007 0.928 0.822
O12 O 0.992 0.321 0.425
O13 O 0.390 0.932 0.185
O14 O 0.610 0.068 0.815
O15 O 0.042 0.354 0.143
O16 O 0.214 0.736 0.022
O17 O 0.458 0.143 0.354
O18 O 0.001 0.867 0.370
O19 O 0.210 0.477 0.764
O20 O 0.542 0.857 0.646
O21 O 0.890 0.815 0.068
O22 O 0.113 0.563 0.318
O23 O 0.887 0.437 0.682
O24 O 0.613 0.682 0.437
O25 O 0.493 0.822 0.928
O26 O 0.110 0.185 0.932
O27 O 0.958 0.646 0.857
O28 O 0.286 0.022 0.736
O29 O 0.508 0.425 0.321
O30 O 0.387 0.318 0.563
O31 O 0.492 0.575 0.679
O32 O 0.501 0.630 0.133
Ge1 Ge 0.394 0.791 0.069
Ge2 Ge 0.106 0.069 0.791
Ge3 Ge 0.522 0.290 0.444
Ge4 Ge 0.022 0.556 0.710
Ge5 Ge 0.606 0.209 0.931
Ge6 Ge 0.978 0.444 0.290
Ge7 Ge 0.894 0.931 0.209
Ge8 Ge 0.478 0.710 0.556
Ba1 Ba 0.209 0.065 0.434
Ba2 Ba 0.291 0.434 0.065
Ba3 Ba 0.709 0.566 0.935
Ba4 Ba 0.791 0.935 0.566
Al1 Al 0.391 0.433 0.706
Al2 Al 0.609 0.567 0.294
Al3 Al 0.891 0.294 0.567
Al4 Al 0.025 0.792 0.946
Al5 Al 0.109 0.706 0.433
Al6 Al 0.975 0.208 0.054
Al7 Al 0.475 0.946 0.792
Al8 Al 0.525 0.054 0.208
```

Values from the calculation:
E in eV/atom: -13.696
Density of states at the Fermi level in states/eV per atom: 0.00
SG: No. 15
Energy relative to the elements, uncorrected in kJ/mol of formula units: -3374.3



Record 10
Ba2AlGePb: single point on PBEsol structure, meta-GGA SCAN.

Structure (CIF):
```
data_Ba2AlGePb
_symmetry_space_group_name_H-M 'P 1'
_symmetry_Int_Tables_number 1
_symmetry_space_group_name_Hall 'P 1'
_cell_length_a 5.306
_cell_length_b 6.225
_cell_length_c 6.225
_cell_angle_alpha 90.00
_cell_angle_beta 90.00
_cell_angle_gamma 90.00
loop_
_atom_site_label
_atom_site_type_symbol
_atom_site_fract_x
_atom_site_fract_y
_atom_site_fract_z
Ge1 Ge 0.000 0.000 0.000
Al1 Al 0.500 0.500 0.500
Ba1 Ba 0.000 0.500 0.000
Ba2 Ba 0.000 0.000 0.500
Pb1 Pb 0.500 0.000 0.000
```

Values from the calculation:
E in eV/atom: -36.297
Density of states at the Fermi level in states/eV per atom: 0.98
SG: No. 123